[1]
VASP calculation (GGA-PBE) on a relaxed UTlNiS4 crystal.

a b c (Å): 6.3694 5.6699 8.8894
angles (deg): 90.00 106.51 90.00
Space group P2_1/m (No. 11)
Unique sites:
U 0.2410 0.2500 0.4450 x2
Tl 0.2344 0.2500 0.9478 x2
Ni 0.2680 0.7500 0.6495 x2
S 0.0579 0.7500 0.8158 x2
S 0.0632 0.7500 0.4089 x2
S 0.4786 0.5159 0.3001 x4

Properties
Uncorrected formation energy   -0.813 eV/atom
Mass density   6.79 g/cm³
Total magnetization   0.0 μB per cell

[2]
VASP calculation (GGA-PBE) on a relaxed Ag3SnPb crystal.

a b c (Å): 5.2129 5.2129 5.2129
angles (deg): 90.00 90.00 90.00
Space group Pm-3m (No. 221)
Unique sites:
Ag 0.0000 0.0000 0.5000 x3
Sn 0.0000 0.0000 0.0000 x1
Pb 0.5000 0.5000 0.5000 x1

Properties
Formation enthalpy at 0 K   0.4312 eV per atom
Distance to the lowest polymorph of the same formula   354.0 meV per atom
Mass density   7.61 g/cm³
Total magnetization   0.0 μB per cell